Entry 1:
{
  "formula": "CsEuIn4",
  "functional": "PBE-GGA",
  "state": "optimized geometry",
  "volume_a3_per_atom": 31.6,
  "dos_at_fermi_per_ev_cell": 11.7,
  "crystal_system": "cubic",
  "formation_energy_ev_per_fu": -1.16,
  "cell": [[0.000, 4.558, 4.558], [4.558, 0.000, 4.558], [4.558, 4.558, 0.000]],
  "species": ["Cs", "Eu", "In", "In", "In", "In"],
  "fractional_positions": [[0.000, 0.000, 0.000], [0.750, 0.750, 0.750], [0.376, 0.376, 0.376], [0.376, 0.376, 0.873], [0.376, 0.873, 0.376], [0.873, 0.376, 0.376]]
}

---

Entry 2:
{
  "formula": "CsEu3Ir",
  "functional": "PBE-GGA",
  "state": "optimized geometry",
  "volume_a3_per_atom": 40.5,
  "dos_at_fermi_per_ev_cell": 28.1,
  "crystal_system": "cubic",
  "formation_energy_ev_per_fu": -0.39,
  "cell": [[5.872, 0.000, 0.000], [0.000, 5.872, 0.000], [0.000, 0.000, 5.872]],
  "species": ["Cs", "Eu", "Eu", "Eu", "Ir"],
  "fractional_positions": [[0.000, 0.000, 0.000], [0.000, 0.500, 0.500], [0.500, 0.000, 0.500], [0.500, 0.500, 0.000], [0.500, 0.500, 0.500]]
}

---

Entry 3:
{
  "formula": "CsEu2N",
  "functional": "PBE-GGA",
  "state": "optimized geometry",
  "volume_a3_per_atom": 34.4,
  "dos_at_fermi_per_ev_cell": 9.9,
  "raw_formation_energy_mev_per_atom": -357.2,
  "crystal_system": "trigonal",
  "cell": [[1.893, 1.093, 11.070], [-1.893, 1.093, 11.070], [0.000, -2.186, 11.070]],
  "species": ["Cs", "Eu", "Eu", "N"],
  "fractional_positions": [[0.000, 0.000, 0.000], [0.126, 0.126, 0.126], [0.874, 0.874, 0.874], [0.500, 0.500, 0.500]]
}

---

Entry 4:
{
  "formula": "CsNa2Eu",
  "functional": "PBE-GGA",
  "state": "optimized geometry",
  "volume_a3_per_atom": 54.5,
  "dos_at_fermi_per_ev_cell": 15.0,
  "relative_energy_ev_per_atom": 0.022,
  "crystal_system": "cubic",
  "formation_energy_ev_per_fu": 0.63,
  "cell": [[0.000, 4.776, 4.776], [4.776, 0.000, 4.776], [4.776, 4.776, 0.000]],
  "species": ["Cs", "Na", "Na", "Eu"],
  "fractional_positions": [[0.000, 0.000, 0.000], [0.250, 0.250, 0.250], [0.750, 0.750, 0.750], [0.500, 0.500, 0.500]]
}

---

Entry 5:
{
  "formula": "CsNa2Eu",
  "functional": "PBE-GGA",
  "state": "optimized geometry",
  "volume_a3_per_atom": 52.5,
  "dos_at_fermi_per_ev_cell": 16.5,
  "relative_energy_ev_per_atom": 0.000,
  "crystal_system": "tetragonal",
  "formation_energy_ev_per_fu": 0.54,
  "cell": [[6.953, 0.000, 0.000], [0.000, 6.953, 0.000], [0.000, 0.000, 4.342]],
  "species": ["Cs", "Na", "Na", "Eu"],
  "fractional_positions": [[0.000, 0.000, 0.000], [0.000, 0.500, 0.500], [0.500, 0.000, 0.500], [0.500, 0.500, 0.000]]
}

---

Entry 6:
{
  "formula": "CsNa2Eu",
  "functional": "PBE-GGA",
  "state": "optimized geometry",
  "volume_a3_per_atom": 53.0,
  "dos_at_fermi_per_ev_cell": 3.9,
  "relative_energy_ev_per_atom": 0.027,
  "crystal_system": "trigonal",
  "formation_energy_ev_per_fu": 0.65,
  "cell": [[2.129, 1.229, 13.509], [-2.129, 1.229, 13.509], [0.000, -2.458, 13.509]],
  "species": ["Cs", "Na", "Na", "Eu"],
  "fractional_positions": [[0.000, 0.000, 0.000], [0.242, 0.242, 0.242], [0.758, 0.758, 0.758], [0.500, 0.500, 0.500]]
}

---

Entry 7:
{
  "formula": "CsNaEuSn",
  "functional": "PBE-GGA",
  "state": "optimized geometry",
  "volume_a3_per_atom": 35.3,
  "dos_at_fermi_per_ev_cell": 14.0,
  "crystal_system": "cubic",
  "formation_energy_ev_per_fu": -0.66,
  "cell": [[0.000, 4.132, 4.132], [4.132, 0.000, 4.132], [4.132, 4.132, 0.000]],
  "species": ["Cs", "Na", "Eu", "Sn"],
  "fractional_positions": [[0.000, 0.000, 0.000], [0.250, 0.250, 0.250], [0.750, 0.750, 0.750], [0.500, 0.500, 0.500]]
}

---

Entry 8:
{
  "formula": "CsEu2Ni",
  "functional": "PBE-GGA",
  "state": "optimized geometry",
  "volume_a3_per_atom": 44.7,
  "dos_at_fermi_per_ev_cell": 23.4,
  "crystal_system": "trigonal",
  "formation_energy_ev_per_fu": 0.39,
  "cell": [[2.120, 1.224, 11.498], [-2.120, 1.224, 11.498], [0.000, -2.448, 11.498]],
  "species": ["Cs", "Eu", "Eu", "Ni"],
  "fractional_positions": [[0.000, 0.000, 0.000], [0.123, 0.123, 0.123], [0.877, 0.877, 0.877], [0.500, 0.500, 0.500]]
}